1:
A relaxed structure of KZr2. Source: the Alexandria database, functional PBE.

a = 8.4414 Å, b = 8.4414 Å, c = 4.9953 Å
α = 90.00°, β = 90.00°, γ = 90.00°
With the nearest neighbours (Å) after each atom.
Space group I4/mcm (No. 140)
Symmetry-distinct sites (fractional):
K (0.0000, 0.0000, 0.2500) (multiplicity 4)  2 K 2.50
Zr (0.1235, 0.3765, 0.0000) (multiplicity 8)  5 Zr 2.95-3.25

Summary:
- Fermi-level density of states: 12.12 states/eV per cell
- V: 356 Å³ per cell



2:
A relaxed structure of KZr2. Source: the Alexandria database, functional PBE.

a = 3.3141 Å, b = 3.3141 Å, c = 9.3062 Å
α = 90.00°, β = 90.00°, γ = 120.00°
With the nearest neighbours (Å) after each atom.
Space group P-3m1 (No. 164)
Symmetry-distinct sites (fractional):
K (0.0000, 0.0000, 0.0000) (multiplicity 1)  6 K 3.31
Zr (0.3333, 0.6667, 0.6285) (multiplicity 2)  9 Zr 3.06-3.31

Summary:
- Fermi-level density of states: 3.98 states/eV per cell
- V: 89 Å³ per cell



3:
A relaxed structure of KZr2. Source: the Alexandria database, functional PBE.

a = 3.2241 Å, b = 24.8953 Å, c = 5.1862 Å
α = 90.00°, β = 90.00°, γ = 90.00°
With the nearest neighbours (Å) after each atom.
Space group Cmcm (No. 63)
Symmetry-distinct sites (fractional):
K (0.0000, 0.1811, 0.2500) (multiplicity 4)  2 K 3.22
Zr (0.0000, 0.0681, 0.7500) (multiplicity 4)  8 Zr 3.09-3.22
Zr (0.0000, 0.4620, 0.7500) (multiplicity 4)  10 Zr 3.09-3.22

Summary:
- Fermi-level density of states: 16.91 states/eV per cell
- V: 416 Å³ per cell



4:
A relaxed structure of KZr2. Source: the Alexandria database, functional PBE.

a = 10.0436 Å, b = 10.0436 Å, c = 2.8083 Å
α = 90.00°, β = 90.00°, γ = 120.00°
With the nearest neighbours (Å) after each atom.
Space group P-62m (No. 189)
Symmetry-distinct sites (fractional):
K (0.0000, 0.0000, 0.0000) (multiplicity 1)  2 K 2.81
K (0.3333, 0.6667, 0.5000) (multiplicity 2)  2 K 2.81
Zr (0.0000, 0.3329, 0.5000) (multiplicity 3)  2 Zr 2.81
Zr (0.0000, 0.6665, 0.0000) (multiplicity 3)  2 Zr 2.81

Summary:
- Fermi-level density of states: 14.29 states/eV per cell
- V: 245 Å³ per cell



Top of the stability list: 3, leading by 80 meV per atom.



1:
A relaxed structure of KZr2. Source: the Alexandria database, functional PBE.

a = 3.2245 Å, b = 3.2245 Å, c = 17.9979 Å
α = 90.00°, β = 90.00°, γ = 90.00°
With the nearest neighbours (Å) after each atom.
Space group I4/mmm (No. 139)
Symmetry-distinct sites (fractional):
K (0.0000, 0.0000, 0.0000) (multiplicity 2)  4 K 3.22
Zr (0.0000, 0.0000, 0.3065) (multiplicity 4)  8 Zr 3.05-3.22

Summary:
- Fermi-level density of states: 4.32 states/eV per cell
- V: 187 Å³ per cell



2:
A relaxed structure of KZr2. Source: the Alexandria database, functional PBE.

a = 10.8636 Å, b = 3.2777 Å, c = 12.7102 Å
α = 90.00°, β = 109.46°, γ = 90.00°
With the nearest neighbours (Å) after each atom.
Space group C2/m (No. 12)
Symmetry-distinct sites (fractional):
K (0.1811, 0.0000, 0.1395) (multiplicity 4)  2 K 3.28
Zr (0.0231, 0.5000, 0.3720) (multiplicity 4)  7 Zr 3.02-3.28
Zr (0.1813, 0.0000, 0.5728) (multiplicity 4)  9 Zr 3.02-3.28

Summary:
- Fermi-level density of states: 13.78 states/eV per cell
- V: 427 Å³ per cell



Top of the stability list: 2, leading by 15 meV per atom.



1:
A relaxed structure of KZr4. Source: the Alexandria database, functional PBE.

a = 4.9492 Å, b = 4.9492 Å, c = 4.9492 Å
α = 90.00°, β = 90.00°, γ = 90.00°
With the nearest neighbours (Å) after each atom.
Space group Pm-3m (No. 221)
Symmetry-distinct sites (fractional):
K (0.0000, 0.0000, 0.0000) (multiplicity 1)  6 Zr 2.47
Zr (0.0000, 0.0000, 0.5000) (multiplicity 3)  2 K 2.47
Zr (0.5000, 0.5000, 0.5000) (multiplicity 1)  12 Zr 3.50

Summary:
- Fermi-level density of states: 9.91 states/eV per cell
- V: 121 Å³ per cell



2:
A relaxed structure of KZr4. Source: the Alexandria database, functional PBE.

a = 6.5362 Å, b = 6.5362 Å, c = 6.5362 Å
α = 90.00°, β = 90.00°, γ = 90.00°
With the nearest neighbours (Å) after each atom.
Space group Im-3m (No. 229)
Symmetry-distinct sites (fractional):
K (0.0000, 0.0000, 0.0000) (multiplicity 2)  8 Zr 2.83
Zr (0.2500, 0.2500, 0.2500) (multiplicity 8)  2 K 2.83

Summary:
- Fermi-level density of states: 13.33 states/eV per cell
- V: 279 Å³ per cell



Top of the stability list: 1, leading by 113 meV per atom.



1:
A relaxed structure of La. Source: the Alexandria database, functional PBE.

a = 3.7610 Å, b = 3.7610 Å, c = 12.0307 Å
α = 90.00°, β = 90.00°, γ = 120.00°
With the nearest neighbours (Å) after each atom.
Space group P6_3/mmc (No. 194)
Symmetry-distinct sites (fractional):
La (0.0000, 0.0000, 0.0000) (multiplicity 2)  12 La 3.71-3.76
La (0.3333, 0.6667, 0.2500) (multiplicity 2)  12 La 3.71-3.76

Summary:
- Fermi-level density of states: 6.31 states/eV per cell
- V: 147 Å³ per cell



2:
A relaxed structure of La. Source: the Alexandria database, functional PBE.

a = 6.8445 Å, b = 6.8445 Å, c = 12.6849 Å
α = 90.00°, β = 90.00°, γ = 90.00°
With the nearest neighbours (Å) after each atom.
Space group I4_1/acd (No. 142, origin choice 2)
Symmetry-distinct sites (fractional):
La (0.1648, 0.0852, 0.1250) (multiplicity 16)  3 La 3.19-3.38

Summary:
- Fermi-level density of states: 19.88 states/eV per cell
- V: 594 Å³ per cell



Top of the stability list: 1, leading by 206 meV per atom.



1:
A relaxed structure of LiLa. Source: the Alexandria database, functional PBE.

a = 3.5052 Å, b = 3.5052 Å, c = 11.3681 Å
α = 90.00°, β = 90.00°, γ = 120.00°
With the nearest neighbours (Å) after each atom.
Space group P6_3/mmc (No. 194)
Symmetry-distinct sites (fractional):
Li (0.3333, 0.6667, 0.2500) (multiplicity 2)  6 La 3.49, 6 Li 3.51
La (0.0000, 0.0000, 0.0000) (multiplicity 2)  6 Li 3.49, 6 La 3.51

Summary:
- Fermi-level density of states: 4.21 states/eV per cell
- V: 121 Å³ per cell



2:
A relaxed structure of LiLa. Source: the Alexandria database, functional PBE.

a = 10.1045 Å, b = 10.1045 Å, c = 10.1045 Å
α = 90.00°, β = 90.00°, γ = 90.00°
With the nearest neighbours (Å) after each atom.
Space group I-43m (No. 217)
Symmetry-distinct sites (fractional):
Li (0.1950, 0.1950, 0.1950) (multiplicity 8)  4 La 3.33
La (0.1146, 0.1146, 0.8854) (multiplicity 8)  3 La 3.27, 4 Li 3.33

Summary:
- Fermi-level density of states: 7.40 states/eV per cell
- V: 1032 Å³ per cell



3:
A relaxed structure of LiLa. Source: the Alexandria database, functional PBE.

a = 3.6567 Å, b = 5.6415 Å, c = 10.9699 Å
α = 90.00°, β = 90.00°, γ = 90.00°
With the nearest neighbours (Å) after each atom.
Space group Imma (No. 74)
Symmetry-distinct sites (fractional):
Li (0.0000, 0.2500, 0.1533) (multiplicity 4)  2 Li 2.80
La (0.0000, 0.2500, 0.6207) (multiplicity 4)  4 La 3.37-3.66, 8 Li 3.38-3.76

Summary:
- Fermi-level density of states: 11.22 states/eV per cell
- V: 226 Å³ per cell



Top of the stability list: 3, leading by 39 meV per atom.



1:
A relaxed structure of Li2La. Source: the Alexandria database, functional PBE.

a = 3.5006 Å, b = 16.9913 Å, c = 5.3560 Å
α = 90.00°, β = 90.00°, γ = 90.00°
With the nearest neighbours (Å) after each atom.
Space group Cmcm (No. 63)
Symmetry-distinct sites (fractional):
Li (0.0000, 0.0479, 0.2500) (multiplicity 4)  8 Li 2.98-3.29
Li (0.0000, 0.4058, 0.2500) (multiplicity 4)  6 Li 2.98-3.29
La (0.0000, 0.2787, 0.7500) (multiplicity 4)  6 La 3.34-3.50, 6 Li 3.43-3.59

Summary:
- Fermi-level density of states: 11.60 states/eV per cell
- V: 319 Å³ per cell



2:
A relaxed structure of Li2La. Source: the Alexandria database, functional PBE.

a = 5.2766 Å, b = 5.2766 Å, c = 3.3154 Å
α = 90.00°, β = 90.00°, γ = 120.00°
With the nearest neighbours (Å) after each atom.
Space group P-3m1 (No. 164)
Symmetry-distinct sites (fractional):
Li (0.3333, 0.6667, 0.4960) (multiplicity 2)  5 Li 3.05-3.32
La (0.0000, 0.0000, 0.0000) (multiplicity 1)  2 La 3.32, 12 Li 3.46-3.47

Summary:
- Fermi-level density of states: 3.27 states/eV per cell
- V: 80 Å³ per cell



3:
A relaxed structure of Li2La. Source: the Alexandria database, functional PBE.

a = 6.9170 Å, b = 6.9170 Å, c = 6.8396 Å
α = 90.00°, β = 90.00°, γ = 90.00°
With the nearest neighbours (Å) after each atom.
Space group I4/mcm (No. 140)
Symmetry-distinct sites (fractional):
Li (0.1247, 0.3753, 0.0000) (multiplicity 8)  1 Li 2.44
La (0.0000, 0.0000, 0.2500) (multiplicity 4)  8 Li 3.23, 2 La 3.42

Summary:
- Fermi-level density of states: 9.43 states/eV per cell
- V: 327 Å³ per cell



Top of the stability list: 1, leading by 11 meV per atom.



1:
A relaxed structure of Li2La. Source: the Alexandria database, functional PBE.

a = 3.6415 Å, b = 3.6415 Å, c = 11.6615 Å
α = 90.00°, β = 90.00°, γ = 90.00°
With the nearest neighbours (Å) after each atom.
Space group I4/mmm (No. 139)
Symmetry-distinct sites (fractional):
Li (0.0000, 0.0000, 0.1954) (multiplicity 4)  4 Li 2.87
La (0.0000, 0.0000, 0.5000) (multiplicity 2)  10 Li 3.44-3.55, 4 La 3.64

Summary:
- Fermi-level density of states: 5.31 states/eV per cell
- V: 155 Å³ per cell



2:
A relaxed structure of Li2La. Source: the Alexandria database, functional PBE.

a = 8.5809 Å, b = 8.5809 Å, c = 8.5809 Å
α = 90.00°, β = 90.00°, γ = 90.00°
With the nearest neighbours (Å) after each atom.
Space group Fd-3m (No. 227, origin choice 2)
Symmetry-distinct sites (fractional):
Li (0.0000, 0.0000, 0.0000) (multiplicity 16)  6 Li 3.03
La (0.1250, 0.1250, 0.6250) (multiplicity 8)  12 Li 3.56, 4 La 3.72

Summary:
- Fermi-level density of states: 32.58 states/eV per cell
- V: 632 Å³ per cell



3:
A relaxed structure of Li2La. Source: the Alexandria database, functional PBE.

a = 4.2117 Å, b = 4.2117 Å, c = 18.7545 Å
α = 90.00°, β = 90.00°, γ = 90.00°
With the nearest neighbours (Å) after each atom.
Space group I4_1/amd (No. 141, origin choice 2)
Symmetry-distinct sites (fractional):
Li (0.0000, 0.2500, 0.2933) (multiplicity 8)  2 Li 2.66
La (0.0000, 0.2500, 0.8750) (multiplicity 4)  8 Li 3.35

Summary:
- Fermi-level density of states: 13.79 states/eV per cell
- V: 333 Å³ per cell



4:
A relaxed structure of Li2La. Source: the Alexandria database, functional PBE.

a = 7.0970 Å, b = 7.0970 Å, c = 7.0970 Å
α = 90.00°, β = 90.00°, γ = 90.00°
With the nearest neighbours (Å) after each atom.
Space group Pa-3 (No. 205)
Symmetry-distinct sites (fractional):
Li (0.1019, 0.1019, 0.1019) (multiplicity 8)  1 Li 2.50
La (0.0000, 0.0000, 0.5000) (multiplicity 4)  6 Li 3.00

Summary:
- Fermi-level density of states: 17.44 states/eV per cell
- V: 357 Å³ per cell



Top of the stability list: 1, leading by 8 meV per atom.



1:
A relaxed structure of Li2La. Source: the Alexandria database, functional PBE.

a = 3.6217 Å, b = 16.5378 Å, c = 5.1013 Å
α = 90.00°, β = 90.00°, γ = 90.00°
With the nearest neighbours (Å) after each atom.
Space group Cmcm (No. 63)
Symmetry-distinct sites (fractional):
Li (0.0000, 0.1238, 0.2500) (multiplicity 4)  2 Li 2.83
Li (0.0000, 0.2447, 0.7500) (multiplicity 4)  6 Li 2.83-3.13
La (0.0000, 0.4444, 0.2500) (multiplicity 4)  2 La 3.14, 6 Li 3.33-3.48

Summary:
- Fermi-level density of states: 11.99 states/eV per cell
- V: 306 Å³ per cell



2:
A relaxed structure of Li2La. Source: the Alexandria database, functional PBE.

a = 7.3689 Å, b = 7.3689 Å, c = 7.3689 Å
α = 90.00°, β = 90.00°, γ = 90.00°
With the nearest neighbours (Å) after each atom.
Space group Fm-3m (No. 225)
Symmetry-distinct sites (fractional):
Li (0.2500, 0.2500, 0.2500) (multiplicity 8)  4 La 3.19
La (0.0000, 0.0000, 0.0000) (multiplicity 4)  8 Li 3.19

Summary:
- Fermi-level density of states: 14.71 states/eV per cell
- V: 400 Å³ per cell



Top of the stability list: 1, leading by 623 meV per atom.